The following is a DFT calculation (GGA-PBE) of a relaxed structure of Mg2MnP.

ΔE_f, eV/f.u.: 0.25
Space-group type: Cmmm, No. 65
Magnetization, Bohr magnetons per cell: 3.6

a b c (Å): 4.948 4.948 2.982
angles (deg): 90.00 90.00 111.29
Positions (direct):
Mg  0.000  0.500  0.000
Mg  0.500  0.000  0.000
Mn  0.000  0.000  0.500
P  0.500  0.500  0.500